# BaZr3H, relaxed, DFT PBE-GGA
# D(E_F) = 0.996 states/eV/atom
# calculated volume = 107.2 Å³/cell
# total energy = -29.2 eV for the cell shown
# polymorph energy (0 for the lowest one) = 0.000 eV/atom
data_BaZr3H
_chemical_formula_sum 'Ba1 Zr3 H1'
_space_group_name_H-M_alt 'P m -3 m'
_space_group_IT_number 221
_space_group_name_Hall '-P 4 2 3'
_cell_length_a 4.751
_cell_length_b 4.751
_cell_length_c 4.751
_cell_angle_alpha 90.00
_cell_angle_beta 90.00
_cell_angle_gamma 90.00
loop_
_atom_site_label
_atom_site_type_symbol
_atom_site_fract_x
_atom_site_fract_y
_atom_site_fract_z
_atom_site_occupancy
Ba1 Ba 0.000 0.000 0.000 1
Zr1 Zr 0.000 0.500 0.500 1
H1 H 0.500 0.500 0.500 1

# RbNaOsF2, relaxed, DFT PBE-GGA
# D(E_F) = 0.074 states/eV/atom
# formation energy without anion corrections = -67.6 meV/atom
# calculated volume = 116.5 Å³/cell
# total energy = -17.6 eV for the cell shown
data_RbNaOsF2
_chemical_formula_sum 'Rb1 Na1 Os1 F2'
_space_group_name_H-M_alt 'P 4/m m m'
_space_group_IT_number 123
_space_group_name_Hall '-P 4 2'
_cell_length_a 4.606
_cell_length_b 4.606
_cell_length_c 5.491
_cell_angle_alpha 90.00
_cell_angle_beta 90.00
_cell_angle_gamma 90.00
loop_
_atom_site_label
_atom_site_type_symbol
_atom_site_fract_x
_atom_site_fract_y
_atom_site_fract_z
_atom_site_occupancy
Rb1 Rb 0.000 0.000 0.000 1
Na1 Na 0.000 0.000 0.500 1
Os1 Os 0.500 0.500 0.000 1
F1 F 0.000 0.500 0.500 1

# MnFeP2, relaxed, DFT PBE-GGA
# D(E_F) = 0.615 states/eV/atom
# calculated formation energy = -0.31 eV/atom
# calculated volume = 144.1 Å³/cell
# total energy = -89.0 eV for the cell shown
# polymorph energy (0 for the lowest one) = 0.284 eV/atom
data_MnFeP2
_chemical_formula_sum 'Mn3 Fe3 P6'
_space_group_name_H-M_alt 'R 3 m'
_space_group_IT_number 160
_space_group_name_Hall 'R 3 -2"'
_cell_length_a 3.4543
_cell_length_b 3.4543
_cell_length_c 13.9419
_cell_angle_alpha 90.00
_cell_angle_beta 90.00
_cell_angle_gamma 120.00
loop_
_atom_site_label
_atom_site_type_symbol
_atom_site_fract_x
_atom_site_fract_y
_atom_site_fract_z
_atom_site_occupancy
Mn1 Mn 0.0000 0.0000 0.0000 1
Fe1 Fe 0.0000 0.0000 0.1860 1
P1 P 0.0000 0.0000 0.5859 1
P2 P 0.0000 0.0000 0.7552 1

# NiOs3Br, relaxed, DFT PBE-GGA
# D(E_F) = 1.160 states/eV/atom
# formation energy without anion corrections = 2620.8 meV/atom
# calculated volume = 92.0 Å³/cell
# total energy = -28.0 eV for the cell shown
# polymorph energy (0 for the lowest one) = 0.250 eV/atom
data_NiOs3Br
_chemical_formula_sum 'Ni1 Os3 Br1'
_space_group_name_H-M_alt 'P m -3 m'
_space_group_IT_number 221
_space_group_name_Hall '-P 4 2 3'
_cell_length_a 4.515
_cell_length_b 4.515
_cell_length_c 4.515
_cell_angle_alpha 90.00
_cell_angle_beta 90.00
_cell_angle_gamma 90.00
loop_
_atom_site_label
_atom_site_type_symbol
_atom_site_fract_x
_atom_site_fract_y
_atom_site_fract_z
_atom_site_occupancy
Ni1 Ni 0.000 0.000 0.000 1
Os1 Os 0.000 0.500 0.500 1
Br1 Br 0.500 0.500 0.500 1

# Hg2Au2I7, relaxed, DFT PBE-GGA
# D(E_F) = 0.700 states/eV/atom
# formation energy without anion corrections = -93.0 meV/atom
# calculated volume = 1142.6 Å³/cell
# total energy = -38.1 eV for the cell shown
# polymorph energy (0 for the lowest one) = 0.041 eV/atom
data_Hg2Au2I7
_chemical_formula_sum 'Hg4 Au4 I14'
_space_group_name_H-M_alt 'C 1 2/m 1'
_space_group_IT_number 12
_cell_length_a 13.826
_cell_length_b 11.257
_cell_length_c 8.083
_cell_angle_alpha 90.00
_cell_angle_beta 114.73
_cell_angle_gamma 90.00
loop_
_space_group_symop_operation_xyz
'x,y,z'
'-x,-y,-z'
'-x,y,-z'
'x,-y,z'
'x+1/2,y+1/2,z'
'-x+1/2,-y+1/2,-z'
'-x+1/2,y+1/2,-z'
'x+1/2,-y+1/2,z'
loop_
_atom_site_label
_atom_site_type_symbol
_atom_site_fract_x
_atom_site_fract_y
_atom_site_fract_z
_atom_site_occupancy
Hg1 Hg 0.000 0.172 0.000 1
Au1 Au 0.113 0.500 0.300 1
I1 I 0.000 0.500 0.500 1
I2 I 0.035 0.000 0.765 1
I3 I 0.187 0.308 0.189 1

# BiAsPt3, relaxed, DFT PBE-GGA
# D(E_F) = 0.375 states/eV/atom
# calculated formation energy = 0.21 eV/atom
# calculated volume = 107.0 Å³/cell
# total energy = -25.6 eV for the cell shown
# polymorph energy (0 for the lowest one) = 0.000 eV/atom
data_BiAsPt3
_chemical_formula_sum 'Bi1 As1 Pt3'
_space_group_name_H-M_alt 'P m -3 m'
_space_group_IT_number 221
_space_group_name_Hall '-P 4 2 3'
_cell_length_a 4.747
_cell_length_b 4.747
_cell_length_c 4.747
_cell_angle_alpha 90.00
_cell_angle_beta 90.00
_cell_angle_gamma 90.00
loop_
_atom_site_label
_atom_site_type_symbol
_atom_site_fract_x
_atom_site_fract_y
_atom_site_fract_z
_atom_site_occupancy
Bi1 Bi 0.000 0.000 0.000 1
As1 As 0.500 0.500 0.500 1
Pt1 Pt 0.000 0.500 0.500 1

Which value of D(E_F) does entry 1 give?
0.996 states/eV/atom